Record 1
The following is a PBE calculation of NiSb4Pb after structural relaxation, from the Alexandria database. Values from VASP.

Summary:
Formation energy without anion corrections, kJ/mol of atoms: 57
Volume, A^3/atom: 28.14

The structure in Quantum ESPRESSO input format:
```
&SYSTEM
  ibrav = 0, nat = 6, ntyp = 3
/
ATOMIC_SPECIES
Sb 121.76 Sb.upf
Pb 207.20 Pb.upf
Ni 58.69 Ni.upf
ATOMIC_POSITIONS crystal
Sb 0.873 0.376 0.376
Sb 0.376 0.376 0.376
Sb 0.376 0.376 0.873
Sb 0.376 0.873 0.376
Pb 0.000 0.000 0.000
Ni 0.750 0.750 0.750
CELL_PARAMETERS angstrom
2.799 4.436 3.313
-3.381 3.909 3.431
0.151 -0.380 6.190
```

***

Record 2
The following is a PBE calculation of KAgPd3 after structural relaxation, from the Alexandria database. Values from VASP.

Summary:
Energy above the most stable polymorph in this dataset, meV/atom: 730
Volume, A^3/atom: 24.49

The structure in Quantum ESPRESSO input format:
```
&SYSTEM
  ibrav = 0, nat = 5, ntyp = 3
/
ATOMIC_SPECIES
K 39.10 K.upf
Pd 106.42 Pd.upf
Ag 107.87 Ag.upf
ATOMIC_POSITIONS crystal
K 0.000 0.000 0.000
Pd 0.500 0.000 0.000
Pd 0.000 0.000 0.500
Pd 0.000 0.500 0.000
Ag 0.500 0.500 0.500
CELL_PARAMETERS angstrom
4.966 0.000 0.000
0.000 4.966 0.000
0.000 0.000 4.966
```

***

Record 3
The following is a PBE calculation of Er2Tm6Te3 after structural relaxation, from the Alexandria database. Values from VASP.

Summary:
Formation energy without anion corrections, kJ/mol of atoms: -51
Volume, A^3/atom: 30.38

The structure in Quantum ESPRESSO input format:
```
&SYSTEM
  ibrav = 0, nat = 11, ntyp = 3
/
ATOMIC_SPECIES
Er 167.26 Er.upf
Tm 168.93 Tm.upf
Te 127.60 Te.upf
ATOMIC_POSITIONS crystal
Er 0.447 0.447 0.658
Er 0.553 0.553 0.342
Tm 0.080 0.080 0.761
Tm 0.184 0.184 0.448
Tm 0.816 0.816 0.552
Tm 0.920 0.920 0.239
Tm 0.640 0.640 0.079
Tm 0.360 0.360 0.921
Te 0.719 0.719 0.844
Te 0.000 0.000 0.000
Te 0.281 0.281 0.156
CELL_PARAMETERS angstrom
-2.156 -2.479 2.006
-1.958 -2.764 -1.828
19.077 -17.715 2.306
```

***

Record 4
The following is a PBE calculation of Be2CoCu after structural relaxation, from the Alexandria database. Values from VASP.

Summary:
VASP energy, eV/atom: -4.91
Volume, A^3/atom: 9.15

The structure in Quantum ESPRESSO input format:
```
&SYSTEM
  ibrav = 0, nat = 4, ntyp = 3
/
ATOMIC_SPECIES
Be 9.01 Be.upf
Co 58.93 Co.upf
Cu 63.55 Cu.upf
ATOMIC_POSITIONS crystal
Be 0.500 0.500 0.000
Be 0.000 0.000 0.000
Co 0.500 0.000 0.500
Cu 0.000 0.500 0.500
CELL_PARAMETERS angstrom
-1.651 2.862 -1.639
-2.713 -0.134 2.495
1.368 1.694 1.579
```

***

Record 5
The following is a PBE calculation of Pr2NdSi2 after structural relaxation, from the Alexandria database. Values from VASP.

Summary:
Formation energy without anion corrections, kJ/mol of atoms: -54
Energy above the most stable polymorph in this dataset, meV/atom: 69
Volume, A^3/atom: 27.26

The structure in Quantum ESPRESSO input format:
```
&SYSTEM
  ibrav = 0, nat = 10, ntyp = 3
/
ATOMIC_SPECIES
Si 28.09 Si.upf
Pr 140.91 Pr.upf
Nd 144.24 Nd.upf
ATOMIC_POSITIONS crystal
Si 0.019 0.862 0.100
Si 0.106 0.342 0.446
Si 0.894 0.658 0.554
Si 0.981 0.138 0.900
Pr 0.321 0.271 0.087
Pr 0.514 0.659 0.312
Pr 0.679 0.729 0.913
Pr 0.486 0.341 0.688
Nd 0.779 0.083 0.360
Nd 0.221 0.917 0.640
CELL_PARAMETERS angstrom
4.436 0.000 0.000
2.218 6.279 0.169
2.218 1.217 9.820
```

***

Record 6
The following is a PBE calculation of Rb3Ho3HfS8 after structural relaxation, from the Alexandria database. Values from VASP.

Summary:
Formation energy without anion corrections, kJ/mol of atoms: -176
Volume, A^3/atom: 28.33

The structure in Quantum ESPRESSO input format:
```
&SYSTEM
  ibrav = 0, nat = 15, ntyp = 4
/
ATOMIC_SPECIES
Hf 178.49 Hf.upf
Ho 164.93 Ho.upf
Rb 85.47 Rb.upf
S 32.06 S.upf
ATOMIC_POSITIONS crystal
Hf 0.000 0.000 0.500
Ho 0.500 0.000 0.500
Ho 0.000 0.500 0.500
Ho 0.500 0.500 0.500
Rb 0.500 0.500 0.000
Rb 0.000 0.500 0.000
Rb 0.000 0.000 0.000
S 0.219 0.437 0.683
S 0.781 0.563 0.317
S 0.219 0.964 0.683
S 0.781 0.036 0.317
S 0.270 0.540 0.310
S 0.254 0.036 0.317
S 0.746 0.964 0.683
S 0.730 0.460 0.690
CELL_PARAMETERS angstrom
-2.364 2.693 -7.057
6.798 -4.003 0.633
-7.581 -4.938 0.655
```

***

no.,ρ (g/cm3)
1,7.41
2,6.32
3,8.60
4,6.38
5,5.87
6,4.64